# 1
The following is a DFT calculation (GGA-PBE) of crystalline CoTc3I at its relaxed geometry.

The value obtained for the uncorrected formation energy is 1.57 eV/atom.

The structure belongs to space group Pm-3m (No. 221); the cell edges are 4.5030, 4.5030 and 4.5030 Å and the angles 90.00°, 90.00° and 90.00°. The inequivalent atoms are Co at (0.0000, 0.0000, 0.0000), Tc at (0.0000, 0.0000, 0.5000) and I at (0.5000, 0.5000, 0.5000).

# 2
The following is a DFT calculation (GGA-PBE) of crystalline TlSbAu at its relaxed geometry.

The value obtained for the uncorrected formation energy is 0.03 eV/atom.

The structure belongs to space group F-43m (No. 216); the cell edges are 6.8875, 6.8875 and 6.8875 Å and the angles 90.00°, 90.00° and 90.00°. The inequivalent atoms are Tl at (0.0000, 0.0000, 0.0000), Sb at (0.0000, 0.0000, 0.5000) and Au at (0.2500, 0.2500, 0.7500).

# 3
The following is a DFT calculation (GGA-PBE) of crystalline Hf4Ti2Pd at its relaxed geometry.

As for the formation energy from the elements: 794 meV/atom.

The structure belongs to space group I4/mmm (No. 139); the cell edges are 5.0430, 5.0430 and 13.1397 Å and the angles 90.00°, 90.00° and 90.00°. The inequivalent atoms are Hf at (0.0000, 0.0000, 0.1984), Hf at (0.0000, 0.5000, 0.0000), Ti at (0.0000, 0.0000, 0.3985) and Pd at (0.0000, 0.0000, 0.0000).

# 4
The following is a DFT calculation (GGA-PBE) of crystalline HfBRh3 at its relaxed geometry.

As for the formation energy from the elements: 160 meV/atom.

The structure belongs to space group Amm2 (No. 38); the cell edges are 2.9772, 5.4671 and 12.2793 Å and the angles 90.00°, 90.00° and 90.00°. The inequivalent atoms are Hf at (0.0000, 0.0000, 0.0000), B at (0.5000, 0.0000, 0.6447), Rh at (0.0000, 0.2465, 0.1771) and Rh at (0.5000, 0.0000, 0.8387).

# 5
The following is a DFT calculation (GGA-PBE) of crystalline Rb3Na2HgF9 at its relaxed geometry.

The value obtained for the uncorrected formation energy is -2.17 eV/atom.

The structure belongs to space group P-3m1 (No. 164); the cell edges are 6.2990, 6.2990 and 7.8559 Å and the angles 90.00°, 90.00° and 120.00°. The inequivalent atoms are Rb at (0.0000, 0.0000, 0.0000), Rb at (0.3333, 0.6667, 0.7064), Na at (0.3333, 0.6667, 0.1651), Hg at (0.0000, 0.0000, 0.5000), F at (0.0000, 0.5000, 0.0000) and F at (0.1608, 0.3215, 0.3388).

# 6
The following is a DFT calculation (GGA-PBE) of crystalline Th2CdHg4 at its relaxed geometry.

As for the formation energy from the elements: -111 meV/atom.

The structure belongs to space group R-3m (No. 166, hexagonal axes); the cell edges are 5.1923, 5.1923 and 25.1422 Å and the angles 90.00°, 90.00° and 120.00°. The inequivalent atoms are Th at (0.0000, 0.0000, 0.2466), Cd at (0.0000, 0.0000, 0.5000), Hg at (0.0000, 0.0000, 0.1180) and Hg at (0.0000, 0.0000, 0.3707).

# 7
The following is a DFT calculation (GGA-PBE) of crystalline SrCa2CdAu4 at its relaxed geometry.

As for the formation energy from the elements: -654 meV/atom.

The structure belongs to space group R-3m (No. 166, hexagonal axes); the cell edges are 5.1029, 5.1029 and 26.1271 Å and the angles 90.00°, 90.00° and 120.00°. The inequivalent atoms are Sr at (0.0000, 0.0000, 0.0000), Ca at (0.0000, 0.0000, 0.2394), Cd at (0.0000, 0.0000, 0.5000), Au at (0.0000, 0.0000, 0.1227) and Au at (0.0000, 0.0000, 0.3866).

# 8
The following is a DFT calculation (GGA-PBE) of crystalline TbMgP2Rh5 at its relaxed geometry.

As for the formation energy from the elements: -584 meV/atom.

The structure belongs to space group P4/mmm (No. 123); the cell edges are 4.1180, 4.1180 and 9.4963 Å and the angles 90.00°, 90.00° and 90.00°. The inequivalent atoms are Tb at (0.0000, 0.0000, 0.0000), Mg at (0.0000, 0.0000, 0.5000), P at (0.5000, 0.5000, 0.2358), Rh at (0.0000, 0.5000, 0.3306) and Rh at (0.5000, 0.5000, 0.0000).

# 9
The following is a DFT calculation (GGA-PBE) of crystalline Zr4TlAg at its relaxed geometry.

As for the formation energy from the elements: 313 meV/atom.

The structure belongs to space group F-43m (No. 216); the cell edges are 8.1777, 8.1777 and 8.1777 Å and the angles 90.00°, 90.00° and 90.00°. The inequivalent atoms are Zr at (0.1251, 0.1251, 0.1251), Tl at (0.0000, 0.0000, 0.5000) and Ag at (0.2500, 0.2500, 0.7500).

# 10
The following is a DFT calculation (GGA-PBE) of crystalline Nd2TePd at its relaxed geometry.

The value obtained for the uncorrected formation energy is -1.03 eV/atom.

The structure belongs to space group R3m (No. 160, hexagonal axes); the cell edges are 4.2761, 4.2761 and 22.8800 Å and the angles 90.00°, 90.00° and 120.00°. The inequivalent atoms are Nd at (0.0000, 0.0000, 0.0000), Nd at (0.0000, 0.0000, 0.1910), Te at (0.0000, 0.0000, 0.7625) and Pd at (0.0000, 0.0000, 0.5956).

# 11
The following is a DFT calculation (GGA-PBE) of crystalline La4MoPb at its relaxed geometry.

As for the formation energy from the elements: 637 meV/atom.

The structure belongs to space group F-43m (No. 216); the cell edges are 9.0727, 9.0727 and 9.0727 Å and the angles 90.00°, 90.00° and 90.00°. The inequivalent atoms are La at (0.1236, 0.1236, 0.1236), Mo at (0.2500, 0.2500, 0.7500) and Pb at (0.0000, 0.0000, 0.5000).

# 12
The following is a DFT calculation (GGA-PBE) of crystalline MgZn2Cd at its relaxed geometry.

As for the formation energy from the elements: 1 meV/atom.

The structure belongs to space group Pmm2 (No. 25); the cell edges are 3.0420, 3.8970 and 6.2768 Å and the angles 90.00°, 90.00° and 90.00°. The inequivalent atoms are Mg at (0.0000, 0.0000, 0.0000), Zn at (0.0000, 0.0000, 0.4558), Zn at (0.5000, 0.5000, 0.2488) and Cd at (0.5000, 0.5000, 0.7185).

# 13
The following is a DFT calculation (GGA-PBE) of crystalline CoIrOs at its relaxed geometry.

As for the formation energy from the elements: 38 meV/atom.

The structure belongs to space group Imm2 (No. 44); the cell edges are 2.6837, 3.7127 and 7.9273 Å and the angles 90.00°, 90.00° and 90.00°. The inequivalent atoms are Co at (0.0000, 0.0000, 0.0000), Ir at (0.0000, 0.0000, 0.6698) and Os at (0.0000, 0.0000, 0.3407).

# 14
The following is a DFT calculation (GGA-PBE) of crystalline Ce3Si2Au3 at its relaxed geometry.

The value obtained for the uncorrected formation energy is -0.68 eV/atom.

The structure belongs to space group Cmcm (No. 63); the cell edges are 4.3735, 10.7958 and 15.1359 Å and the angles 90.00°, 90.00° and 90.00°. The inequivalent atoms are Ce at (0.0000, 0.0851, 0.1046), Ce at (0.0000, 0.3673, 0.2500), Si at (0.0000, 0.2047, 0.6079), Au at (0.0000, 0.3514, 0.7500) and Au at (0.0000, 0.3772, 0.0398).

# 15
The following is a DFT calculation (GGA-PBE) of crystalline Tl2AgICl2 at its relaxed geometry.

The value obtained for the uncorrected formation energy is -0.70 eV/atom.

The structure belongs to space group Cmc2_1 (No. 36); the cell edges are 13.6112, 8.9033 and 8.2832 Å and the angles 90.00°, 90.00° and 90.00°. The inequivalent atoms are Tl at (0.1697, 0.1500, 0.0000), Ag at (0.0000, 0.3446, 0.5429), I at (0.0000, 0.3740, 0.2005) and Cl at (0.1532, 0.1801, 0.6272).

# 16
The following is a DFT calculation (GGA-PBE) of crystalline CdAs2Se at its relaxed geometry.

The value obtained for the uncorrected formation energy is 0.20 eV/atom.

The structure belongs to space group P4/mmm (No. 123); the cell edges are 3.7522, 3.7522 and 8.5279 Å and the angles 90.00°, 90.00° and 90.00°. The inequivalent atoms are Cd at (0.0000, 0.0000, 0.0000), As at (0.0000, 0.5000, 0.5000) and Se at (0.5000, 0.5000, 0.0000).

# 17
The following is a DFT calculation (GGA-PBE) of crystalline AcCeCdIr at its relaxed geometry.

As for the formation energy from the elements: -282 meV/atom.

The structure belongs to space group F-43m (No. 216); the cell edges are 7.5183, 7.5183 and 7.5183 Å and the angles 90.00°, 90.00° and 90.00°. The inequivalent atoms are Ac at (0.0000, 0.0000, 0.0000), Ce at (0.0000, 0.0000, 0.5000), Cd at (0.2500, 0.2500, 0.2500) and Ir at (0.2500, 0.2500, 0.7500).

# 18
The following is a DFT calculation (GGA-PBE) of crystalline CaSiAu4 at its relaxed geometry.

The value obtained for the uncorrected formation energy is -0.37 eV/atom.

The structure belongs to space group Cmcm (No. 63); the cell edges are 4.3074, 16.1508 and 6.7821 Å and the angles 90.00°, 90.00° and 90.00°. The inequivalent atoms are Ca at (0.0000, 0.1137, 0.2500), Si at (0.0000, 0.2317, 0.7500), Au at (0.0000, 0.0723, 0.7500), Au at (0.0000, 0.3207, 0.0416) and Au at (0.0000, 0.5000, 0.0000).

# 19
The following is a DFT calculation (GGA-PBE) of crystalline TlVSi3 at its relaxed geometry.

The value obtained for the uncorrected formation energy is 0.33 eV/atom.

The structure belongs to space group Pm-3m (No. 221); the cell edges are 4.6947, 4.6947 and 4.6947 Å and the angles 90.00°, 90.00° and 90.00°. The inequivalent atoms are Tl at (0.0000, 0.0000, 0.0000), V at (0.5000, 0.5000, 0.5000) and Si at (0.0000, 0.5000, 0.5000).

# 20
The following is a DFT calculation (GGA-PBE) of crystalline Y6SiCl8 at its relaxed geometry.

The value obtained for the uncorrected formation energy is -1.67 eV/atom.

The structure belongs to space group R-3 (No. 148, hexagonal axes); the cell edges are 6.9259, 6.9259 and 29.8360 Å and the angles 90.00°, 90.00° and 120.00°. The inequivalent atoms are Y at (0.0000, 0.3060, 0.4469), Si at (0.0000, 0.0000, 0.5000), Cl at (0.0000, 0.0000, 0.1667) and Cl at (0.9999, 0.3446, 0.6059).

# 21
The following is a DFT calculation (GGA-PBE) of crystalline KCaTi2Sn at its relaxed geometry.

As for the formation energy from the elements: 743 meV/atom.

The structure belongs to space group P4/mmm (No. 123); the cell edges are 5.3676, 5.3676 and 6.1524 Å and the angles 90.00°, 90.00° and 90.00°. The inequivalent atoms are K at (0.0000, 0.0000, 0.0000), Ca at (0.5000, 0.5000, 0.0000), Ti at (0.0000, 0.5000, 0.5000) and Sn at (0.0000, 0.0000, 0.5000).

# 22
The following is a DFT calculation (GGA-PBE) of crystalline ZnCo2Ir at its relaxed geometry.

As for the formation energy from the elements: 44 meV/atom.

The structure belongs to space group I4/mmm (No. 139); the cell edges are 3.6742, 3.6742 and 7.2397 Å and the angles 90.00°, 90.00° and 90.00°. The inequivalent atoms are Zn at (0.0000, 0.0000, 0.0000), Co at (0.0000, 0.5000, 0.2500) and Ir at (0.0000, 0.0000, 0.5000).